Computed, not measured: a relaxed structure of VFeAs2O8 at the PBE+U level of DFT.

magnetic moment = 4.99 Bohr magnetons per cell
final energy = -6.46 eV per atom
symmetry = No. 119

Structure (CIF):
```
data_VFeAs2O8
_chemical_formula_sum 'V1 Fe1 As2 O8'
_symmetry_space_group_name_H-M 'P 1'
_symmetry_Int_Tables_number 1
_cell_length_a 5.643
_cell_length_b 5.643
_cell_length_c 5.643
_cell_angle_alpha 106.86
_cell_angle_beta 106.86
_cell_angle_gamma 114.82
loop_
_symmetry_equiv_pos_as_xyz
'x,y,z'
loop_
_atom_site_label
_atom_site_type_symbol
_atom_site_fract_x
_atom_site_fract_y
_atom_site_fract_z
V1 V 0.000 0.000 0.000
Fe1 Fe 0.250 0.750 0.500
As1 As 0.500 0.500 0.000
As2 As 0.750 0.250 0.500
O1 O 0.298 0.118 0.820
O2 O 0.298 0.478 0.180
O3 O 0.371 0.063 0.308
O4 O 0.522 0.702 0.820
O5 O 0.755 0.063 0.692
O6 O 0.882 0.702 0.180
O7 O 0.937 0.245 0.308
O8 O 0.937 0.629 0.692
```